# 1
Here is a relaxed structure of NdY2PuS4 from the Alexandria database. Energies are from GGA-PBE.

a = 6.873 Å, b = 3.948 Å, c = 6.890 Å
α = 90.00°, β = 109.17°, γ = 90.00°
Fractional positions:
Nd  0.000  0.000  0.000
Y  0.000  0.500  0.500
Y  0.500  0.000  0.500
Pu  0.500  0.500  0.000
S  0.252  0.000  0.744
S  0.258  0.500  0.260
S  0.742  0.500  0.740
S  0.748  0.000  0.256

Symmetry: No. 10
DFT total energy: -8.034 eV/atom
Total magnetic moment: 5.83 μB per formula unit



# 2
Here is a relaxed structure of Ho4MgOs from the Alexandria database. Energies are from GGA-PBE.

a = 5.950 Å, b = 5.950 Å, c = 8.733 Å
α = 109.97°, β = 109.97°, γ = 39.50°
Fractional positions:
Ho  0.118  0.118  0.404
Ho  0.339  0.339  0.182
Ho  0.661  0.661  0.818
Ho  0.882  0.882  0.596
Mg  0.000  0.000  0.000
Os  0.500  0.500  0.500

Symmetry: No. 12
DFT total energy: -5.178 eV/atom
E_form: 0.07 eV per formula unit
ΔE to the lowest computed polymorph: 0.209 eV per atom
Total magnetic moment: 0.00 μB per formula unit



# 3
Here is a relaxed structure of Pr2ErSb from the Alexandria database. Energies are from GGA-PBE.

a = 5.551 Å, b = 5.551 Å, c = 5.551 Å
α = 60.00°, β = 60.00°, γ = 60.00°
Fractional positions:
Pr  0.250  0.250  0.250
Pr  0.750  0.750  0.750
Er  0.000  0.000  0.000
Sb  0.500  0.500  0.500

Symmetry: No. 225
DFT total energy: -4.860 eV/atom
ΔE to the lowest computed polymorph: 0.211 eV per atom
Total magnetic moment: 0.00 μB per formula unit



# 4
Here is a relaxed structure of Ac2PrTm3 from the Alexandria database. Energies are from GGA-PBE.

a = 8.958 Å, b = 8.958 Å, c = 7.440 Å
α = 101.95°, β = 101.95°, γ = 49.83°
Fractional positions:
Ac  0.178  0.189  0.092
Ac  0.189  0.178  0.592
Ac  0.811  0.822  0.408
Ac  0.822  0.811  0.908
Pr  0.210  0.790  0.250
Pr  0.790  0.210  0.750
Tm  0.216  0.784  0.750
Tm  0.383  0.387  0.442
Tm  0.387  0.383  0.942
Tm  0.613  0.617  0.058
Tm  0.617  0.613  0.558
Tm  0.784  0.216  0.250

Symmetry: No. 15
DFT total energy: -4.259 eV/atom
E_form: 0.86 eV per formula unit
Total magnetic moment: 0.00 μB per formula unit



# 5
Here is a relaxed structure of PSe from the Alexandria database. Energies are from GGA-PBE.

a = 16.016 Å, b = 3.303 Å, c = 6.651 Å
α = 90.00°, β = 90.00°, γ = 90.00°
Fractional positions:
P  0.000  0.086  0.000
P  0.189  0.244  0.541
P  0.311  0.756  0.041
P  0.500  0.914  0.500
P  0.689  0.756  0.041
P  0.811  0.244  0.541
Se  0.000  0.586  0.230
Se  0.213  0.254  0.046
Se  0.287  0.746  0.546
Se  0.500  0.414  0.730
Se  0.713  0.746  0.546
Se  0.787  0.254  0.046

Symmetry: No. 31
DFT total energy: -4.161 eV/atom
ΔE to the lowest computed polymorph: 0.366 eV per atom
Total magnetic moment: 0.00 μB per formula unit



# 6
Here is a relaxed structure of Ce3YNi8 from the Alexandria database. Energies are from GGA-PBE.

a = 8.795 Å, b = 8.795 Å, c = 8.795 Å
α = 33.63°, β = 33.63°, γ = 33.63°
Fractional positions:
Ce  0.000  0.000  0.000
Ce  0.123  0.123  0.123
Ce  0.632  0.632  0.632
Y  0.506  0.506  0.506
Ni  0.067  0.067  0.562
Ni  0.067  0.562  0.067
Ni  0.069  0.566  0.566
Ni  0.316  0.316  0.316
Ni  0.562  0.067  0.067
Ni  0.566  0.069  0.566
Ni  0.566  0.566  0.069
Ni  0.816  0.816  0.816

Symmetry: No. 160
DFT total energy: -6.258 eV/atom
E_form: -4.58 eV per formula unit
ΔE to the lowest computed polymorph: 0.000 eV per atom
Total magnetic moment: 0.11 μB per formula unit



# 7
Here is a relaxed structure of ScTcC3 from the Alexandria database. Energies are from GGA-PBE.

a = 3.966 Å, b = 3.966 Å, c = 3.966 Å
α = 90.00°, β = 90.00°, γ = 90.00°
Fractional positions:
Sc  0.000  0.000  0.000
Tc  0.500  0.500  0.500
C  0.000  0.500  0.500
C  0.500  0.000  0.500
C  0.500  0.500  0.000

Symmetry: No. 221
DFT total energy: -7.760 eV/atom
E_form: 5.57 eV per formula unit
ΔE to the lowest computed polymorph: 0.000 eV per atom
Total magnetic moment: 0.00 μB per formula unit



- Which of these has the highest total magnetic moment?
  NdY2PuS4